16
Lattice="9.652 0.000 0.000 -4.826 8.359 0.000 0.000 0.000 5.277" Properties=species:S:1:pos:R:3 comment="La3Ag5 PBE-GGA relaxed" dft_energy_ev_per_atom=-3.703 spacegroup="P6_3/mcm (193)" pbc="T T T"
La -1.808 3.131 1.319
La -3.018 5.228 3.958
La 3.615 0.000 1.319
La 1.808 3.131 3.958
La 6.037 0.000 3.958
La 3.018 5.228 1.319
Ag -0.852 1.475 3.958
Ag -3.974 6.884 1.319
Ag 1.704 0.000 3.958
Ag 0.852 1.475 1.319
Ag 0.000 5.573 0.000
Ag 0.000 5.573 2.639
Ag 4.826 2.786 0.000
Ag 4.826 2.786 2.639
Ag 7.948 0.000 1.319
Ag 3.974 6.884 3.958

7
Lattice="-3.681 3.681 3.681 3.681 -3.681 3.681 3.681 3.681 -3.681" Properties=species:S:1:pos:R:3 comment="LaAg6 PBE-GGA relaxed" dft_energy_ev_per_atom=-2.683 spacegroup="Im-3m (229)" pbc="T T T"
La 0.000 0.000 0.000
Ag 3.681 1.841 0.000
Ag 3.681 0.000 1.841
Ag 1.841 3.681 0.000
Ag 1.841 0.000 3.681
Ag 0.000 3.681 1.841
Ag 0.000 1.841 3.681

8
Lattice="6.248 0.000 0.000 0.000 6.248 0.000 0.000 0.000 6.179" Properties=species:S:1:pos:R:3 comment="LaAg PBE-GGA relaxed" dft_energy_ev_per_atom=-3.994 spacegroup="P4_2/mnm (136)" pbc="T T T"
La 1.222 1.222 0.000
La 1.902 4.346 3.090
La 4.346 1.902 3.090
La 5.026 5.026 0.000
Ag 1.103 1.103 3.090
Ag 2.021 4.227 0.000
Ag 4.227 2.021 0.000
Ag 5.145 5.145 3.090

4
Lattice="4.974 0.000 0.000 -2.487 4.307 0.000 0.000 0.000 5.750" Properties=species:S:1:pos:R:3 comment="LaAg PBE-GGA relaxed" dft_energy_ev_per_atom=-3.964 spacegroup="P6_3/mmc (194)" pbc="T T T"
La 0.000 2.872 1.437
La 2.487 1.436 4.312
Ag 0.000 0.000 0.000
Ag 0.000 0.000 2.875

8
Lattice="-4.770 4.770 4.770 4.770 -4.770 4.770 4.770 4.770 -4.770" Properties=species:S:1:pos:R:3 comment="LaAg PBE-GGA relaxed" dft_energy_ev_per_atom=-3.345 spacegroup="I-43m (217)" pbc="T T T"
La 1.388 1.388 -1.388
La 1.388 -1.388 1.388
La -1.388 1.388 1.388
La 3.383 3.383 3.383
Ag 3.142 3.142 -3.142
Ag 3.142 -3.142 3.142
Ag 1.628 1.628 1.628
Ag -3.142 3.142 3.142

11
Lattice="-2.650 3.875 7.998 2.650 -3.875 7.998 2.650 3.875 -7.998" Properties=species:S:1:pos:R:3 comment="La5Ag6 PBE-GGA relaxed" dft_energy_ev_per_atom=-3.927 spacegroup="Immm (71)" pbc="T T T"
La 0.000 0.000 0.000
La 2.650 0.000 2.768
La 0.000 0.000 5.710
La 0.000 0.000 10.287
La 0.000 3.875 5.230
Ag 2.650 -2.104 5.123
Ag 2.650 1.657 0.000
Ag 0.000 1.771 2.875
Ag 2.650 2.104 5.123
Ag 0.000 2.218 7.998
Ag 0.000 5.979 2.875

8
Lattice="0.000 4.331 4.331 4.331 0.000 4.331 4.331 4.331 0.000" Properties=species:S:1:pos:R:3 comment="LaAg7 PBE-GGA relaxed" dft_energy_ev_per_atom=-3.057 spacegroup="Fm-3m (225)" pbc="T T T"
La 0.000 0.000 0.000
Ag 2.166 2.166 0.000
Ag 2.166 0.000 2.166
Ag 4.331 2.166 2.166
Ag 0.000 2.166 2.166
Ag 2.166 4.331 2.166
Ag 2.166 2.166 4.331
Ag 4.331 4.331 4.331

6
Lattice="5.702 -1.987 0.000 5.702 1.987 0.000 -2.502 0.000 7.080" Properties=species:S:1:pos:R:3 comment="LaAg PBE-GGA relaxed" dft_energy_ev_per_atom=-4.033 spacegroup="Cm (8)" pbc="T T T"
La 0.000 0.000 0.000
La -1.329 0.000 3.810
La 3.157 0.000 1.272
Ag 1.863 0.000 4.690
Ag 6.586 0.000 2.591
Ag 5.721 0.000 5.894

14
Lattice="9.052 -3.537 0.000 9.052 3.537 0.000 -0.704 0.000 7.302" Properties=species:S:1:pos:R:3 comment="La5Ag2 PBE-GGA relaxed" dft_energy_ev_per_atom=-4.425 spacegroup="C2/c (15)" pbc="T T T"
La 8.524 3.062 5.477
La 3.873 0.499 2.174
La 7.383 0.833 0.311
La 3.521 -0.499 5.825
La 10.370 0.833 3.340
La 7.031 -0.833 3.962
La 13.880 0.499 1.477
La 10.018 -0.833 6.991
La 13.528 -0.499 5.128
La 8.876 -3.062 1.826
Ag 6.728 2.138 3.143
Ag 11.024 2.138 0.509
Ag 6.376 -2.138 6.794
Ag 10.672 -2.138 4.160

4
Lattice="1.887 1.089 9.410 -1.887 1.089 9.410 0.000 -2.179 9.410" Properties=species:S:1:pos:R:3 comment="LaAg PBE-GGA relaxed" dft_energy_ev_per_atom=-3.840 spacegroup="R-3m (166)" pbc="T T T"
La 0.000 0.000 3.229
La 0.000 0.000 25.001
Ag 0.000 0.000 10.300
Ag 0.000 0.000 17.930

4
Lattice="1.609 0.929 9.960 -1.609 0.929 9.960 0.000 -1.858 9.960" Properties=species:S:1:pos:R:3 comment="LaAg3 PBE-GGA relaxed" dft_energy_ev_per_atom=-3.246 spacegroup="R-3m (166)" pbc="T T T"
La 0.000 0.000 0.000
Ag 0.000 0.000 7.210
Ag 0.000 0.000 14.940
Ag 0.000 0.000 22.670

11
Lattice="-2.671 3.824 7.983 2.671 -3.824 7.983 2.671 3.824 -7.983" Properties=species:S:1:pos:R:3 comment="La6Ag5 PBE-GGA relaxed" dft_energy_ev_per_atom=-4.154 spacegroup="Immm (71)" pbc="T T T"
La 2.671 1.887 -2.591
La 0.000 1.874 0.000
La 2.671 1.887 2.591
La 0.000 1.937 5.392
La 0.000 5.774 0.000
La 0.000 1.937 10.574
Ag 0.000 0.000 2.741
Ag 2.671 0.000 5.289
Ag 0.000 0.000 7.983
Ag 0.000 3.824 2.694
Ag 0.000 0.000 13.225

Question: What is the formula in the tenth record?
Answer: LaAg